Nd2YHo9 | PBE | optimized geometry

Computed properties:
Offset from the most stable computed form (eV/atom): 0.044
Space group: P6/mmm, No. 191
Energy of formation from the pure elements (meV per atom): 67

Geometry as CIF:
```
data_Nd2YHo9
_chemical_formula_sum 'Nd2 Y1 Ho9'
_cell_length_a 3.4980
_cell_length_b 11.2445
_cell_length_c 11.2445
_cell_angle_alpha 120.00
_cell_angle_beta 90.00
_cell_angle_gamma 90.00
_symmetry_space_group_name_H-M 'P 1'
_symmetry_Int_Tables_number 1
_symmetry_space_group_name_Hall 'P 1'
loop_
_atom_site_label
_atom_site_fract_x
_atom_site_fract_y
_atom_site_fract_z
Nd1 0.0000 0.3333 0.6667
Nd2 0.0000 0.6667 0.3333
Y1 0.0000 0.0000 0.0000
Ho1 0.0000 0.0000 0.5000
Ho2 0.0000 0.5000 0.5000
Ho3 0.0000 0.5000 0.0000
Ho4 0.5000 0.3482 0.1741
Ho5 0.5000 0.1741 0.8259
Ho6 0.5000 0.1741 0.3482
Ho7 0.5000 0.8259 0.6518
Ho8 0.5000 0.8259 0.1741
Ho9 0.5000 0.6518 0.8259
```

***

Na2TiGeS4 | PBE | optimized geometry

Computed properties:
Space group: I-4, No. 82
E_form (uncorrected) (eV/atom): -0.944

Geometry as CIF:
```
data_Na2TiGeS4
_chemical_formula_sum 'Na2 Ti1 Ge1 S4'
_cell_length_a 7.0295
_cell_length_b 7.0295
_cell_length_c 7.0295
_cell_angle_alpha 77.85
_cell_angle_beta 127.25
_cell_angle_gamma 127.25
_symmetry_space_group_name_H-M 'P 1'
_symmetry_Int_Tables_number 1
_symmetry_space_group_name_Hall 'P 1'
loop_
_atom_site_label
_atom_site_fract_x
_atom_site_fract_y
_atom_site_fract_z
Na1 0.5000 0.7500 0.2500
Na2 0.0000 0.0000 0.0000
Ti1 0.5000 0.2500 0.7500
Ge1 0.0000 0.5000 0.5000
S1 0.5331 0.3637 0.4353
S2 0.0716 0.1694 0.6363
S3 0.9284 0.5647 0.0978
S4 0.4669 0.9022 0.8306
```

***

ThInNiRu | PBE | optimized geometry

Computed properties:
Space group: F-43m, No. 216
Energy of formation from the pure elements (meV per atom): -262

Geometry as CIF:
```
data_ThInNiRu
_chemical_formula_sum 'Th1 In1 Ni1 Ru1'
_cell_length_a 4.7894
_cell_length_b 4.7894
_cell_length_c 4.7894
_cell_angle_alpha 60.00
_cell_angle_beta 60.00
_cell_angle_gamma 60.00
_symmetry_space_group_name_H-M 'P 1'
_symmetry_Int_Tables_number 1
_symmetry_space_group_name_Hall 'P 1'
loop_
_atom_site_label
_atom_site_fract_x
_atom_site_fract_y
_atom_site_fract_z
Ru1 0.7500 0.7500 0.7500
Ni1 0.2500 0.2500 0.2500
Th1 0.5000 0.5000 0.5000
In1 0.0000 0.0000 0.0000
```

***

NdDyThTl | PBE | optimized geometry

Computed properties:
Space group: F-43m, No. 216
Energy of formation from the pure elements (meV per atom): 50

Geometry as CIF:
```
data_NdDyThTl
_chemical_formula_sum 'Nd1 Dy1 Th1 Tl1'
_cell_length_a 5.5336
_cell_length_b 5.5336
_cell_length_c 5.5336
_cell_angle_alpha 60.00
_cell_angle_beta 60.00
_cell_angle_gamma 60.00
_symmetry_space_group_name_H-M 'P 1'
_symmetry_Int_Tables_number 1
_symmetry_space_group_name_Hall 'P 1'
loop_
_atom_site_label
_atom_site_fract_x
_atom_site_fract_y
_atom_site_fract_z
Tl1 0.0000 0.0000 0.0000
Nd1 0.7500 0.7500 0.7500
Th1 0.5000 0.5000 0.5000
Dy1 0.2500 0.2500 0.2500
```